[1]
First-principles (PBE-GGA) data for crystalline Pr2Be3PdPt12 at its relaxed geometry, as listed in the Alexandria database.

## Properties
Energy of formation from the pure elements   -0.3049 eV/atom
Volume   18.705 Å³/atom
VASP energy   -103.91 eV for the cell shown
Space-group type   R-3m, No. 166

a = 7.6077 Å, b = 7.6077 Å, c = 7.6077 Å
α = 63.69°, β = 63.69°, γ = 63.69°
Fractional coordinates of all 18 atoms:
Pr  0.1087  0.1087  0.1087
Pr  0.8913  0.8913  0.8913
Be  0.0000  0.5000  0.5000
Be  0.5000  0.0000  0.5000
Be  0.5000  0.5000  0.0000
Pd  0.5000  0.5000  0.5000
Pt  0.1087  0.6315  0.6315
Pt  0.1508  0.1508  0.6003
Pt  0.1508  0.6003  0.1508
Pt  0.3685  0.3685  0.8913
Pt  0.3685  0.8913  0.3685
Pt  0.3997  0.8492  0.8492
Pt  0.6003  0.1508  0.1508
Pt  0.6315  0.1087  0.6315
Pt  0.6315  0.6315  0.1087
Pt  0.8492  0.3997  0.8492
Pt  0.8492  0.8492  0.3997
Pt  0.8913  0.3685  0.3685



[2]
First-principles (PBE-GGA) data for crystalline Pr3Be2SbPd9 at its relaxed geometry, as listed in the Alexandria database.

## Properties
Volume   19.308 Å³/atom
VASP energy   -82.33 eV for the cell shown
Formation energy from raw total energies   -0.6452 eV/atom
Space-group type   P-3m1, No. 164

a = 5.9990 Å, b = 5.9990 Å, c = 9.2927 Å
α = 90.00°, β = 90.00°, γ = 120.00°
Fractional coordinates of all 15 atoms:
Pr  0.0000  0.0000  0.0000
Pr  0.3333  0.6667  0.6564
Pr  0.6667  0.3333  0.3436
Be  0.3333  0.6667  0.1432
Be  0.6667  0.3333  0.8568
Sb  0.0000  0.0000  0.5000
Pd  0.0000  0.5000  0.0000
Pd  0.1647  0.3293  0.2796
Pd  0.1647  0.8353  0.2796
Pd  0.3293  0.1647  0.7204
Pd  0.5000  0.0000  0.0000
Pd  0.5000  0.5000  0.0000
Pd  0.6707  0.8353  0.2796
Pd  0.8353  0.1647  0.7204
Pd  0.8353  0.6707  0.7204



[3]
First-principles (PBE-GGA) data for crystalline Pr2ScBePd6 at its relaxed geometry, as listed in the Alexandria database.

## Properties
Energy of formation from the pure elements   -0.6091 eV/atom
Volume   20.064 Å³/atom
VASP energy   -56.87 eV for the cell shown
Space-group type   C2/m, No. 12

a = 5.9497 Å, b = 5.9497 Å, c = 7.3756 Å
α = 113.59°, β = 113.59°, γ = 60.06°
Fractional coordinates of all 10 atoms:
Pr  0.2388  0.2388  0.2143
Pr  0.7612  0.7612  0.7857
Sc  0.5000  0.5000  0.0000
Be  0.0000  0.0000  0.5000
Pd  0.2355  0.2355  0.6904
Pd  0.2350  0.7139  0.6867
Pd  0.2861  0.7650  0.3133
Pd  0.7139  0.2350  0.6867
Pd  0.7650  0.2861  0.3133
Pd  0.7645  0.7645  0.3096



[4]
First-principles (PBE-GGA) data for crystalline Pr2BeSiPd6 at its relaxed geometry, as listed in the Alexandria database.

## Properties
Volume   18.551 Å³/atom
VASP energy   -56.78 eV for the cell shown
Formation energy from raw total energies   -0.6913 eV/atom
Space-group type   P-1, No. 2

a = 5.8991 Å, b = 5.9348 Å, c = 6.8967 Å
α = 66.05°, β = 65.58°, γ = 60.82°
Fractional coordinates of all 10 atoms:
Pr  0.2283  0.2326  0.3185
Pr  0.7717  0.7674  0.6815
Be  0.0000  0.0000  0.0000
Si  0.5000  0.5000  0.5000
Pd  0.2388  0.7017  0.8112
Pd  0.2419  0.2367  0.7889
Pd  0.2866  0.7645  0.1979
Pd  0.7134  0.2355  0.8021
Pd  0.7581  0.7633  0.2111
Pd  0.7612  0.2983  0.1888